1.
Here is a geometry-optimized Ta2Ru2I structure from Alexandria. Energies are from PBE-GGA.

Computed properties:
Energy above the lowest structure with this stoichiometry in meV/atom: 0.0
E_form (uncorrected) in eV per formula unit: 1.07
Symmetry: P4/mbm, No. 127
Crystal system: tetragonal

Unit cell a=7.736 b=7.736 c=3.086 alpha=90.00 beta=90.00 gamma=90.00
Sites, in units of the cell vectors:
Ta1 0.148 0.352 0.000
Ta2 0.352 0.852 0.000
Ta3 0.648 0.148 0.000
Ta4 0.852 0.648 0.000
Ru1 0.137 0.637 0.500
Ru2 0.363 0.137 0.500
Ru3 0.637 0.863 0.500
Ru4 0.863 0.363 0.500
I1 0.000 0.000 0.500
I2 0.500 0.500 0.500

***

2.
Here is a geometry-optimized Sc5Si2Bi2 structure from Alexandria. Energies are from PBE-GGA.

Computed properties:
E_form (uncorrected) in eV per formula unit: -6.82
Symmetry: Cmce, No. 64
Crystal system: orthorhombic

Unit cell a=8.176 b=8.176 c=7.439 alpha=90.00 beta=90.00 gamma=54.04
Sites, in units of the cell vectors:
Sc1 0.000 0.000 0.000
Sc2 0.045 0.716 0.666
Sc3 0.216 0.545 0.166
Sc4 0.284 0.955 0.666
Sc5 0.455 0.784 0.166
Sc6 0.500 0.500 0.500
Sc7 0.545 0.216 0.834
Sc8 0.716 0.045 0.334
Sc9 0.784 0.455 0.834
Sc10 0.955 0.284 0.334
Si1 0.133 0.867 0.369
Si2 0.367 0.633 0.869
Si3 0.633 0.367 0.131
Si4 0.867 0.133 0.631
Bi1 0.209 0.209 0.000
Bi2 0.291 0.291 0.500
Bi3 0.709 0.709 0.500
Bi4 0.791 0.791 0.000

***

3.
Here is a geometry-optimized Pr6Sm8Tm structure from Alexandria. Energies are from PBE-GGA.

Computed properties:
Calculated formation energy in eV per formula unit: 1.64
Symmetry: R-3, No. 148
Crystal system: trigonal

Unit cell a=8.844 b=8.844 c=8.844 alpha=63.28 beta=63.28 gamma=63.28
Sites, in units of the cell vectors:
Pr1 0.039 0.735 0.598
Pr2 0.265 0.402 0.961
Pr3 0.402 0.961 0.265
Pr4 0.598 0.039 0.735
Pr5 0.735 0.598 0.039
Pr6 0.961 0.265 0.402
Sm1 0.077 0.077 0.077
Sm2 0.217 0.252 0.613
Sm3 0.252 0.613 0.217
Sm4 0.387 0.783 0.748
Sm5 0.613 0.217 0.252
Sm6 0.748 0.387 0.783
Sm7 0.783 0.748 0.387
Sm8 0.923 0.923 0.923
Tm1 0.500 0.500 0.500